Record 1
A relaxed structure of BaTc2Ni. Source: Alexandria, functional PBE.

Cell lengths 3.2574, 3.2574, 7.6003 Å; angles 90.00, 90.00, 90.00 degrees
With the nearest neighbours (Å) after each atom.
Space group P4/mmm (No. 123)
Symmetry-distinct sites (fractional):
Ba: 0.0000 0.0000 0.0000 x1  4 Ba 3.26, 8 Tc 3.52
Tc: 0.5000 0.5000 0.3502 x2  1 Tc 2.28
Ni: 0.0000 0.0000 0.5000 x1  8 Tc 2.57

VASP energy, eV/atom: -6.395
Magnetization, μB per cell: 0.00
Distance to the lowest polymorph of the same formula, meV/atom: 325.1
Formation enthalpy at 0 K, eV per formula unit: 2.86

Record 2
A relaxed structure of Ba2TcNi. Source: Alexandria, functional PBE.

Cell lengths 7.5214, 7.5214, 7.5214 Å; angles 90.00, 90.00, 90.00 degrees
With the nearest neighbours (Å) after each atom.
Space group F-43m (No. 216)
Symmetry-distinct sites (fractional):
Ba: 0.0000 0.0000 0.0000 x4  4 Ba 3.26, 4 Tc 3.26
Ba: 0.2500 0.2500 0.2500 x4  4 Ba 3.26, 4 Ni 3.26
Tc: 0.2500 0.2500 0.7500 x4  4 Ba 3.26, 4 Ni 3.26
Ni: 0.0000 0.0000 0.5000 x4  4 Tc 3.26, 4 Ba 3.26

VASP energy, eV/atom: -4.020
Magnetization, μB per cell: 11.74
Distance to the lowest polymorph of the same formula, meV/atom: 675.5
Formation enthalpy at 0 K, eV per formula unit: 3.91